# 1
Computed, not measured: Lu4Ta2Co3N3 after structural relaxation at the PBE-GGA level of DFT.

Lattice parameters (Å, degrees): 5.490 5.490 14.010 102.41 102.41 60.20
Atoms (fractional coordinates):
Lu (0.041, 0.198, 0.098)
Lu (0.130, 0.296, 0.402)
Lu (0.198, 0.041, 0.598)
Lu (0.296, 0.130, 0.902)
Lu (0.704, 0.870, 0.098)
Lu (0.802, 0.959, 0.402)
Lu (0.870, 0.704, 0.598)
Lu (0.959, 0.802, 0.902)
Ta (0.373, 0.535, 0.099)
Ta (0.465, 0.627, 0.401)
Ta (0.535, 0.373, 0.599)
Ta (0.627, 0.465, 0.901)
Co (0.081, 0.919, 0.750)
Co (0.110, 0.418, 0.752)
Co (0.418, 0.110, 0.252)
Co (0.582, 0.890, 0.748)
Co (0.890, 0.582, 0.248)
Co (0.919, 0.081, 0.250)
N (0.000, 0.500, 0.000)
N (0.197, 0.652, 0.500)
N (0.348, 0.803, 0.000)
N (0.500, 0.000, 0.500)
N (0.652, 0.197, 0.000)
N (0.803, 0.348, 0.500)

# 2
Computed, not measured: Y4Lu2Co3N3 after structural relaxation at the PBE-GGA level of DFT.

Lattice parameters (Å, degrees): 5.871 5.871 13.988 102.32 102.32 59.92
Atoms (fractional coordinates):
Y (0.033, 0.201, 0.098)
Y (0.134, 0.299, 0.402)
Y (0.201, 0.033, 0.598)
Y (0.299, 0.134, 0.902)
Y (0.701, 0.866, 0.098)
Y (0.799, 0.967, 0.402)
Y (0.866, 0.701, 0.598)
Y (0.967, 0.799, 0.902)
Lu (0.377, 0.538, 0.112)
Lu (0.462, 0.623, 0.388)
Lu (0.538, 0.377, 0.612)
Lu (0.623, 0.462, 0.888)
Co (0.074, 0.926, 0.750)
Co (0.101, 0.416, 0.750)
Co (0.416, 0.101, 0.250)
Co (0.584, 0.899, 0.750)
Co (0.899, 0.584, 0.250)
Co (0.926, 0.074, 0.250)
N (0.000, 0.500, 0.000)
N (0.192, 0.654, 0.500)
N (0.346, 0.808, 0.000)
N (0.500, 0.000, 0.500)
N (0.654, 0.192, 0.000)
N (0.808, 0.346, 0.500)

# 3
Computed, not measured: Lu2Zr4Co3N3 after structural relaxation at the PBE-GGA level of DFT.

Lattice parameters (Å, degrees): 5.604 5.604 13.667 102.07 102.07 59.97
Atoms (fractional coordinates):
Lu (0.041, 0.875, 0.619)
Lu (0.125, 0.959, 0.881)
Lu (0.875, 0.041, 0.119)
Lu (0.959, 0.125, 0.381)
Zr (0.197, 0.363, 0.095)
Zr (0.298, 0.473, 0.405)
Zr (0.363, 0.197, 0.595)
Zr (0.473, 0.298, 0.905)
Zr (0.527, 0.702, 0.095)
Zr (0.637, 0.803, 0.405)
Zr (0.702, 0.527, 0.595)
Zr (0.803, 0.637, 0.905)
Co (0.085, 0.402, 0.750)
Co (0.402, 0.085, 0.250)
Co (0.428, 0.572, 0.250)
Co (0.572, 0.428, 0.750)
Co (0.598, 0.915, 0.750)
Co (0.915, 0.598, 0.250)
N (0.000, 0.500, 0.500)
N (0.164, 0.673, 0.000)
N (0.327, 0.836, 0.500)
N (0.500, 0.000, 0.000)
N (0.673, 0.164, 0.500)
N (0.836, 0.327, 0.000)

# 4
Computed, not measured: Lu4Zr2Co3N3 after structural relaxation at the PBE-GGA level of DFT.

Lattice parameters (Å, degrees): 5.631 5.631 13.886 102.08 102.08 59.97
Atoms (fractional coordinates):
Lu (0.034, 0.200, 0.097)
Lu (0.133, 0.299, 0.403)
Lu (0.200, 0.034, 0.597)
Lu (0.299, 0.133, 0.903)
Lu (0.701, 0.867, 0.097)
Lu (0.800, 0.966, 0.403)
Lu (0.867, 0.701, 0.597)
Lu (0.966, 0.800, 0.903)
Zr (0.373, 0.538, 0.111)
Zr (0.462, 0.627, 0.389)
Zr (0.538, 0.373, 0.611)
Zr (0.627, 0.462, 0.889)
Co (0.077, 0.923, 0.750)
Co (0.099, 0.417, 0.751)
Co (0.417, 0.099, 0.251)
Co (0.583, 0.901, 0.749)
Co (0.901, 0.583, 0.249)
Co (0.923, 0.077, 0.250)
N (0.000, 0.500, 0.000)
N (0.191, 0.655, 0.500)
N (0.345, 0.809, 0.000)
N (0.500, 0.000, 0.500)
N (0.655, 0.191, 0.000)
N (0.809, 0.345, 0.500)

Number 1: E -7.811 eV/atom. Number 2: E -7.441 eV/atom. Number 3: E -8.353 eV/atom. Number 4: E -7.518 eV/atom.